The following is a DFT calculation (PBE-GGA) of Ca4RhAu after structural relaxation.

Geometry as extended XYZ:
```
6
Lattice="-0.970 0.417 5.992 -4.260 3.783 2.136 -5.118 -2.235 2.417" Properties=species:S:1:pos:R:3 pbc="T T T"
Ca -4.369 0.946 6.944
Ca -6.434 -0.375 5.163
Ca -6.007 2.622 5.024
Ca -3.886 0.738 3.960
Rh -7.761 1.474 7.909
Au 0.000 0.000 0.000
```

Results
- Calculated density: 4.8 g cm⁻³
- Relative energy among the computed polymorphs: 1.021 eV/atom

---

The following is a DFT calculation (PBE-GGA) of Ca6Rh2Au after structural relaxation.

Geometry as extended XYZ:
```
18
Lattice="-7.510 -4.166 1.041 6.296 -3.002 5.116 -0.487 8.341 2.243" Properties=species:S:1:pos:R:3 pbc="T T T"
Ca 0.068 2.485 6.053
Ca -1.768 -1.312 2.347
Ca 0.586 5.546 3.424
Ca -2.286 -4.373 4.977
Ca -1.545 -0.951 5.960
Ca -0.155 2.123 2.441
Ca 2.820 4.857 6.210
Ca -4.520 -3.685 2.190
Ca -3.290 1.649 3.924
Ca 1.590 -0.477 4.476
Ca 3.444 1.227 6.825
Ca -5.144 -0.054 1.576
Rh -1.833 4.077 4.385
Rh 0.133 -2.905 4.016
Rh -5.493 2.868 2.256
Rh -2.503 1.307 1.028
Au 2.905 2.669 3.680
Au 0.000 0.000 0.000
```

Results
- Calculated density: 4.3 g cm⁻³

---

The following is a DFT calculation (PBE-GGA) of CaRh2Au2 after structural relaxation.

Geometry as extended XYZ:
```
10
Lattice="7.567 0.000 0.000 0.000 7.567 0.000 0.000 0.000 3.231" Properties=species:S:1:pos:R:3 pbc="T T T"
Rh 2.848 6.631 0.000
Rh 6.631 4.719 0.000
Rh 4.719 0.935 0.000
Rh 0.935 2.848 0.000
Ca 0.000 0.000 0.000
Ca 3.783 3.783 0.000
Au 1.318 5.101 1.616
Au 5.101 6.248 1.616
Au 6.248 2.465 1.616
Au 2.465 1.318 1.616
```

Results
- Calculated density: 11.5 g cm⁻³
- Relative energy among the computed polymorphs: 0.000 eV/atom

---

The following is a DFT calculation (PBE-GGA) of CaRhAu after structural relaxation.

Geometry as extended XYZ:
```
6
Lattice="-1.437 5.025 1.546 -0.672 1.116 5.356 3.677 3.226 2.541" Properties=species:S:1:pos:R:3 pbc="T T T"
Ca -0.164 6.030 4.267
Ca 1.732 3.336 5.176
Rh 0.000 0.000 0.000
Rh -0.718 2.513 0.773
Au -1.055 3.070 3.451
Au 1.120 4.125 2.043
```

Results
- Calculated density: 9.5 g cm⁻³
- Relative energy among the computed polymorphs: 0.000 eV/atom

---

The following is a DFT calculation (PBE-GGA) of Ca5RhAu2 after structural relaxation.

Geometry as extended XYZ:
```
16
Lattice="-0.942 -4.039 -1.834 7.013 -0.146 -3.281 4.611 -5.667 10.109" Properties=species:S:1:pos:R:3 pbc="T T T"
Ca 2.306 -2.834 5.054
Ca 3.506 -0.073 -1.640
Ca 6.841 -1.266 -0.727
Ca 4.783 -4.547 7.555
Ca 7.843 -4.073 4.937
Ca 3.781 -1.741 1.891
Ca 6.174 -4.477 1.079
Ca 4.508 -5.376 3.915
Ca 9.547 -7.333 5.634
Ca 1.135 -2.520 -0.640
Rh 5.812 -2.907 3.414
Rh 0.000 0.000 0.000
Au 4.186 -3.052 -1.035
Au 6.496 -6.800 6.029
Au 9.246 -5.944 2.731
Au 1.436 -3.909 2.263
```

Results
- Calculated density: 5.3 g cm⁻³

---

The following is a DFT calculation (PBE-GGA) of Ca8RhAu2 after structural relaxation.

Geometry as extended XYZ:
```
11
Lattice="-3.961 0.807 1.268 -2.112 -7.199 -2.014 4.372 -4.329 9.332" Properties=species:S:1:pos:R:3 pbc="T T T"
Ca -2.494 -3.830 1.724
Ca 1.737 -3.109 7.403
Ca 0.481 -4.025 4.065
Ca -1.590 -5.604 -1.398
Ca -2.183 -6.696 4.522
Ca -3.438 -7.611 1.184
Ca 0.793 -6.890 6.863
Ca -0.112 -5.117 9.985
Rh -1.980 0.404 0.634
Au -0.659 -6.207 1.892
Au -1.042 -4.514 6.695
```

Results
- Calculated density: 3.8 g cm⁻³
- Relative energy among the computed polymorphs: 0.000 eV/atom

---

The following is a DFT calculation (PBE-GGA) of Ca8Rh2Au after structural relaxation.

Geometry as extended XYZ:
```
11
Lattice="5.960 0.114 -0.965 -1.902 7.064 -2.905 -0.020 -0.044 7.871" Properties=species:S:1:pos:R:3 pbc="T T T"
Ca 2.756 2.472 -0.975
Ca 3.262 0.560 1.924
Ca 0.419 2.664 1.684
Ca 5.414 1.680 4.480
Ca 4.385 5.566 -1.412
Ca 3.489 4.544 2.388
Ca 0.524 6.618 2.136
Ca 1.033 4.694 5.053
Rh 1.603 4.930 0.033
Rh 2.304 2.284 4.044
Au -1.025 7.032 4.817
```

Results
- Calculated density: 3.6 g cm⁻³

---

The following is a DFT calculation (PBE-GGA) of Ca6RhAu after structural relaxation.

Geometry as extended XYZ:
```
8
Lattice="0.714 0.019 4.643 3.686 -7.632 1.847 6.992 1.757 1.291" Properties=species:S:1:pos:R:3 pbc="T T T"
Ca 6.627 -1.357 6.109
Ca 5.581 1.104 3.883
Ca 3.122 -2.142 4.291
Ca 5.812 -6.960 3.898
Ca 4.766 -4.499 1.672
Ca 8.271 -3.715 3.490
Rh 5.696 -2.928 3.890
Au 0.000 0.000 0.000
```

Results
- Calculated density: 3.3 g cm⁻³

---

no.,DFT total energy (eV per atom),spin magnetization (Bohr magnetons per cell),volume (Å³/cell)
1,-2.606,0.00,159.3
2,-3.765,0.00,493.4
3,-4.794,0.00,185.0
4,-4.757,0.00,118.6
5,-3.564,0.00,438.0
6,-3.131,0.00,361.0
7,-3.444,0.00,332.1
8,-3.132,0.00,268.6